Ir3Os | PBEsol | optimized geometry

Calculated total energy   -10.40 eV per atom
ΔE_f   0.07 eV/f.u.
Magnetization   0.00 μB/f.u.
Theoretical density   22.7 Mg/m³

Cell lengths 8.990, 2.701, 4.686 Å; angles 90.00, 99.91, 90.00 degrees
Space group C2/m (No. 12)
Symmetry-distinct sites (fractional):
Ir  0.000  0.000  0.000 (multiplicity 2)
Ir  0.249  0.000  0.747 (multiplicity 4)
Os  0.000  0.500  0.500 (multiplicity 2)

***

RbPCl2 | PBEsol | optimized geometry

Raw formation energy   -0.4658 eV per atom
Calculated total energy   -3.17 eV per atom
Magnetization   0.00 μB/f.u.
Theoretical density   2.4 Mg/m³
ΔE to the lowest computed polymorph   27 meV per atom

Cell lengths 5.761, 5.761, 15.600 Å; angles 90.00, 90.00, 90.00 degrees
Space group I-42d (No. 122)
Symmetry-distinct sites (fractional):
Rb  0.000  0.000  0.000 (multiplicity 4)
P  0.000  0.000  0.500 (multiplicity 4)
Cl  0.126  0.250  0.625 (multiplicity 8)

***

LaMnHg2Sb | PBEsol | optimized geometry

Raw formation energy   1.0463 eV per atom
Calculated total energy   -3.11 eV per atom
Magnetization   2.54 μB/f.u.
Theoretical density   7.7 Mg/m³

Cell lengths 5.771, 5.771, 4.659 Å; angles 90.00, 90.00, 90.00 degrees
Space group P4/mmm (No. 123)
Symmetry-distinct sites (fractional):
La  0.000  0.000  0.000 (multiplicity 1)
Mn  0.000  0.000  0.500 (multiplicity 1)
Hg  0.000  0.500  0.000 (multiplicity 2)
Sb  0.500  0.500  0.500 (multiplicity 1)

***

AlCu2Ni4 | PBEsol | optimized geometry

Calculated total energy   -5.55 eV per atom
ΔE_f   -1.43 eV/f.u.
Magnetization   0.00 μB/f.u.
Theoretical density   8.5 Mg/m³

Cell lengths 5.475, 3.553, 7.902 Å; angles 90.00, 96.72, 90.00 degrees
Space group P2_1/m (No. 11)
Symmetry-distinct sites (fractional):
Al  0.205  0.250  0.318 (multiplicity 2)
Cu  0.067  0.750  0.103 (multiplicity 2)
Cu  0.356  0.750  0.539 (multiplicity 2)
Ni  0.076  0.250  0.610 (multiplicity 2)
Ni  0.223  0.750  0.822 (multiplicity 2)
Ni  0.362  0.250  0.034 (multiplicity 2)
Ni  0.496  0.750  0.247 (multiplicity 2)

***

Question: Which formula does entry 4 have?
Answer: AlCu2Ni4